# SmAlCu PBEsol optimized geometry
# Energy of formation from the pure elements = -1.072 eV per formula unit
data_SmAlCu
_chemical_formula_sum 'Sm4 Al4 Cu4'
_cell_length_a 5.439
_cell_length_b 5.445
_cell_length_c 7.431
_cell_angle_alpha 90.00
_cell_angle_beta 90.00
_cell_angle_gamma 90.00
_symmetry_space_group_name_H-M 'I m m a'
_symmetry_Int_Tables_number 74
_symmetry_space_group_name_Hall '-I 2b 2'
loop_
_atom_site_label
_atom_site_type_symbol
_atom_site_fract_x
_atom_site_fract_y
_atom_site_fract_z
Sm1 Sm 0.000 0.250 0.130
Al1 Al 0.250 0.250 0.750
Cu1 Cu 0.000 0.000 0.500

---

# Cs2PdSeN PBEsol optimized geometry
# Formation energy (no corrections) = 0.44 eV per atom
data_Cs2PdSeN
_chemical_formula_sum 'Cs2 Pd1 Se1 N1'
_cell_length_a 6.521
_cell_length_b 6.521
_cell_length_c 4.633
_cell_angle_alpha 90.00
_cell_angle_beta 90.00
_cell_angle_gamma 90.00
_symmetry_space_group_name_H-M 'P 4/m m m'
_symmetry_Int_Tables_number 123
_symmetry_space_group_name_Hall '-P 4 2'
loop_
_atom_site_label
_atom_site_type_symbol
_atom_site_fract_x
_atom_site_fract_y
_atom_site_fract_z
Cs1 Cs 0.000 0.500 0.000
Pd1 Pd 0.000 0.000 0.000
Se1 Se 0.000 0.000 0.500
N1 N 0.500 0.500 0.500

---

# Al2Co2C PBEsol optimized geometry
# Energy of formation from the pure elements = 2.520 eV per formula unit
data_Al2Co2C
_chemical_formula_sum 'Al4 Co4 C2'
_cell_length_a 5.429
_cell_length_b 5.429
_cell_length_c 3.854
_cell_angle_alpha 90.00
_cell_angle_beta 90.00
_cell_angle_gamma 90.00
_symmetry_space_group_name_H-M 'P 4/m b m'
_symmetry_Int_Tables_number 127
_symmetry_space_group_name_Hall '-P 4 2ab'
loop_
_atom_site_label
_atom_site_type_symbol
_atom_site_fract_x
_atom_site_fract_y
_atom_site_fract_z
Al1 Al 0.164 0.336 0.000
Co1 Co 0.150 0.650 0.500
C1 C 0.000 0.000 0.000

---

# CaPb3N PBEsol optimized geometry
# Formation energy (no corrections) = 0.27 eV per atom
data_CaPb3N
_chemical_formula_sum 'Ca1 Pb3 N1'
_cell_length_a 5.030
_cell_length_b 5.030
_cell_length_c 5.030
_cell_angle_alpha 90.00
_cell_angle_beta 90.00
_cell_angle_gamma 90.00
_symmetry_space_group_name_H-M 'P m -3 m'
_symmetry_Int_Tables_number 221
_symmetry_space_group_name_Hall '-P 4 2 3'
loop_
_atom_site_label
_atom_site_type_symbol
_atom_site_fract_x
_atom_site_fract_y
_atom_site_fract_z
Ca1 Ca 0.000 0.000 0.000
Pb1 Pb 0.000 0.500 0.500
N1 N 0.500 0.500 0.500

---

# TlSb2TeI PBEsol optimized geometry
# Formation energy (no corrections) = 0.50 eV per atom
data_TlSb2TeI
_chemical_formula_sum 'Tl1 Sb2 Te1 I1'
_cell_length_a 5.707
_cell_length_b 5.707
_cell_length_c 6.019
_cell_angle_alpha 90.00
_cell_angle_beta 90.00
_cell_angle_gamma 90.00
_symmetry_space_group_name_H-M 'P 4/m m m'
_symmetry_Int_Tables_number 123
_symmetry_space_group_name_Hall '-P 4 2'
loop_
_atom_site_label
_atom_site_type_symbol
_atom_site_fract_x
_atom_site_fract_y
_atom_site_fract_z
Tl1 Tl 0.000 0.000 0.000
Sb1 Sb 0.000 0.500 0.500
Te1 Te 0.500 0.500 0.500
I1 I 0.500 0.500 0.000

---

# KNa2HN PBEsol optimized geometry
# E_tot = -12.98 eV per cell
data_KNa2HN
_chemical_formula_sum 'K1 Na2 H1 N1'
_cell_length_a 4.490
_cell_length_b 4.490
_cell_length_c 7.470
_cell_angle_alpha 90.00
_cell_angle_beta 90.00
_cell_angle_gamma 90.00
_symmetry_space_group_name_H-M 'P 4/m m m'
_symmetry_Int_Tables_number 123
_symmetry_space_group_name_Hall '-P 4 2'
loop_
_atom_site_label
_atom_site_type_symbol
_atom_site_fract_x
_atom_site_fract_y
_atom_site_fract_z
K1 K 0.000 0.000 0.000
Na1 Na 0.000 0.500 0.500
H1 H 0.500 0.500 0.000
N1 N 0.500 0.500 0.500

---

# GaGe2PF PBEsol optimized geometry
# Formation energy (no corrections) = -0.08 eV per atom
data_GaGe2PF
_chemical_formula_sum 'Ga1 Ge2 P1 F1'
_cell_length_a 4.903
_cell_length_b 4.903
_cell_length_c 3.675
_cell_angle_alpha 90.00
_cell_angle_beta 90.00
_cell_angle_gamma 90.00
_symmetry_space_group_name_H-M 'P 4/m m m'
_symmetry_Int_Tables_number 123
_symmetry_space_group_name_Hall '-P 4 2'
loop_
_atom_site_label
_atom_site_type_symbol
_atom_site_fract_x
_atom_site_fract_y
_atom_site_fract_z
Ga1 Ga 0.000 0.000 0.000
Ge1 Ge 0.000 0.500 0.500
P1 P 0.500 0.500 0.500
F1 F 0.500 0.500 0.000

---

# MgB6H14O17 PBEsol optimized geometry
# E_tot = -979.70 eV per cell
data_MgB6H14O17
_chemical_formula_sum 'Mg4 B24 H56 O68'
_cell_length_a 12.412
_cell_length_b 9.929
_cell_length_c 11.182
_cell_angle_alpha 90.00
_cell_angle_beta 110.59
_cell_angle_gamma 90.00
_symmetry_space_group_name_H-M 'P 1 21/c 1'
_symmetry_Int_Tables_number 14
_symmetry_space_group_name_Hall '-P 2ybc'
loop_
_atom_site_label
_atom_site_type_symbol
_atom_site_fract_x
_atom_site_fract_y
_atom_site_fract_z
Mg1 Mg 0.000 0.000 0.000
Mg2 Mg 0.500 0.000 0.500
B1 B 0.084 0.119 0.787
B2 B 0.103 0.579 0.161
B3 B 0.179 0.169 0.384
B4 B 0.188 0.598 0.398
B5 B 0.230 0.129 0.019
B6 B 0.380 0.552 0.561
H1 H 0.020 0.598 0.965
H2 H 0.069 0.685 0.702
H3 H 0.105 0.726 0.492
H4 H 0.120 0.509 0.797
H5 H 0.143 0.178 0.146
H6 H 0.280 0.553 0.959
H7 H 0.321 0.641 0.273
H8 H 0.341 0.700 0.988
H9 H 0.378 0.616 0.167
H10 H 0.388 0.109 0.253
H11 H 0.390 0.188 0.572
H12 H 0.439 0.224 0.357
H13 H 0.460 0.018 0.829
H14 H 0.481 0.728 0.843
O1 O 0.023 0.601 0.683
O2 O 0.070 0.052 0.667
O3 O 0.075 0.642 0.045
O4 O 0.103 0.634 0.453
O5 O 0.109 0.240 0.280
O6 O 0.144 0.113 0.079
O7 O 0.163 0.652 0.268
O8 O 0.177 0.031 0.377
O9 O 0.183 0.055 0.891
O10 O 0.246 0.230 0.495
O11 O 0.305 0.638 0.473
O12 O 0.341 0.068 0.092
O13 O 0.355 0.602 0.009
O14 O 0.396 0.628 0.261
O15 O 0.408 0.131 0.345
O16 O 0.470 0.153 0.609
O17 O 0.492 0.593 0.617